Entry 1:
A plane-wave DFT calculation with PBE-GGA was carried out for a relaxed TmMgPd crystal.

a = 7.401 Å, b = 7.401 Å, c = 4.025 Å
α = 90.00°, β = 90.00°, γ = 120.00°
Atoms (fractional coordinates):
Tm 0.000 0.411 0.000
Tm 0.411 0.000 0.000
Tm 0.589 0.589 0.000
Mg 0.000 0.753 0.500
Mg 0.247 0.247 0.500
Mg 0.753 0.000 0.500
Pd 0.000 0.000 0.000
Pd 0.333 0.667 0.500
Pd 0.667 0.333 0.500

Magnetic moment   0.00 μB/cell
Crystal system   hexagonal
ΔH_f (0 K)   -0.70 eV/atom

Entry 2:
A plane-wave DFT calculation with PBE-GGA was carried out for a relaxed TmMg7Pd4 crystal.

a = 6.816 Å, b = 6.816 Å, c = 9.184 Å
α = 122.79°, β = 122.79°, γ = 43.56°
Atoms (fractional coordinates):
Tm 0.000 0.000 0.000
Mg 0.066 0.066 0.387
Mg 0.218 0.218 0.875
Mg 0.315 0.315 0.376
Mg 0.500 0.500 0.000
Mg 0.685 0.685 0.624
Mg 0.782 0.782 0.125
Mg 0.934 0.934 0.613
Pd 0.310 0.310 0.665
Pd 0.433 0.433 0.219
Pd 0.567 0.567 0.781
Pd 0.690 0.690 0.335

Magnetic moment   0.00 μB/cell
Crystal system   monoclinic
ΔH_f (0 K)   -0.28 eV/atom

Entry 3:
A plane-wave DFT calculation with PBE-GGA was carried out for a relaxed Tm5MgPd3 crystal.

a = 8.792 Å, b = 8.792 Å, c = 6.216 Å
α = 90.00°, β = 90.00°, γ = 120.00°
Atoms (fractional coordinates):
Tm 0.000 0.314 0.250
Tm 0.000 0.686 0.750
Tm 0.314 0.000 0.250
Tm 0.314 0.314 0.750
Tm 0.333 0.667 0.000
Tm 0.333 0.667 0.500
Tm 0.667 0.333 0.000
Tm 0.667 0.333 0.500
Tm 0.686 0.000 0.750
Tm 0.686 0.686 0.250
Mg 0.000 0.000 0.000
Mg 0.000 0.000 0.500
Pd 0.000 0.367 0.750
Pd 0.000 0.633 0.250
Pd 0.367 0.000 0.750
Pd 0.367 0.367 0.250
Pd 0.633 0.000 0.250
Pd 0.633 0.633 0.750

Magnetic moment   0.00 μB/cell
Crystal system   hexagonal
ΔH_f (0 K)   -0.54 eV/atom

Entry 4:
A plane-wave DFT calculation with PBE-GGA was carried out for a relaxed TmMgPd crystal.

a = 4.962 Å, b = 4.962 Å, c = 5.795 Å
α = 90.00°, β = 90.00°, γ = 117.43°
Atoms (fractional coordinates):
Tm 0.158 0.842 0.750
Tm 0.842 0.158 0.250
Mg 0.500 0.500 0.000
Mg 0.500 0.500 0.500
Pd 0.185 0.815 0.250
Pd 0.815 0.185 0.750

Magnetic moment   0.00 μB/cell
Crystal system   orthorhombic
ΔH_f (0 K)   -0.62 eV/atom